# 1
Below is Zr6IrRh2 after structural relaxation, with properties calculated at the PBE level.

a = 5.6003 Å, b = 7.2192 Å, c = 9.2097 Å
α = 90.00°, β = 89.22°, γ = 90.00°
Fractional positions:
Zr: 0.8391 0.6467 0.5446
Zr: 0.3619 0.7750 0.4342
Zr: 0.1609 0.3533 0.4554
Zr: 0.3391 0.8533 0.0446
Zr: 0.6609 0.1467 0.9554
Zr: 0.1381 0.2750 0.0658
Zr: 0.6381 0.2250 0.5658
Zr: 0.8284 0.9381 0.2436
Zr: 0.8619 0.7250 0.9342
Zr: 0.3284 0.5619 0.7436
Zr: 0.1716 0.0619 0.7564
Zr: 0.6716 0.4381 0.2564
Rh: 0.8781 0.4057 0.7815
Rh: 0.1219 0.5943 0.2185
Rh: 0.3781 0.0943 0.2815
Rh: 0.6219 0.9057 0.7185
Ir: 0.5000 0.5000 0.0000
Ir: 0.0000 0.0000 0.5000

N(E_F) ... 14.2 states/eV per cell
VASP energy ... -8.7725 eV per atom
Total moment ... 0.00 μB/cell
SG ... P2_1/c (14)
DFT formation energy ... -0.46 eV per atom

---

# 2
Below is Zr2IrRh2 after structural relaxation, with properties calculated at the PBE level.

a = 7.0471 Å, b = 7.0471 Å, c = 3.5669 Å
α = 90.00°, β = 90.00°, γ = 90.00°
Fractional positions:
Rh: 0.6294 0.1294 0.0000
Rh: 0.1294 0.3706 0.0000
Rh: 0.8706 0.6294 0.0000
Rh: 0.3706 0.8706 0.0000
Ir: 0.5000 0.5000 0.0000
Ir: 0.0000 0.0000 0.0000
Zr: 0.3214 0.1786 0.5000
Zr: 0.1786 0.6786 0.5000
Zr: 0.8214 0.3214 0.5000
Zr: 0.6786 0.8214 0.5000

N(E_F) ... 10.3 states/eV per cell
VASP energy ... -8.7346 eV per atom
Total moment ... 0.00 μB/cell
SG ... P4/mbm (127)
DFT formation energy ... -0.60 eV per atom

---

# 3
Below is Zr3IrRh2 after structural relaxation, with properties calculated at the PBE level.

a = 3.4763 Å, b = 4.5567 Å, c = 7.1959 Å
α = 108.46°, β = 90.00°, γ = 90.00°
Fractional positions:
Zr: 0.5000 0.1658 0.3315
Zr: 0.5000 0.5000 0.0000
Zr: 0.5000 0.8342 0.6685
Rh: 0.0000 0.3324 0.6648
Rh: 0.0000 0.6676 0.3352
Ir: 0.0000 0.0000 0.0000

N(E_F) ... 4.7 states/eV per cell
VASP energy ... -8.9710 eV per atom
Total moment ... 0.00 μB/cell
SG ... Cmmm (65)
DFT formation energy ... -0.77 eV per atom